# MgCdAg3, optimized geometry, DFT PBE
data_MgCdAg3
_symmetry_space_group_name_H-M 'P 1 21/m 1'
_symmetry_Int_Tables_number 11
_symmetry_space_group_name_Hall '-P 2yb'
_cell_length_a 4.8227
_cell_length_b 6.0190
_cell_length_c 7.0792
_cell_angle_alpha 90.00
_cell_angle_beta 109.23
_cell_angle_gamma 90.00
loop_
_atom_site_label
_atom_site_type_symbol
_atom_site_fract_x
_atom_site_fract_y
_atom_site_fract_z
_atom_site_occupancy
Mg1 Mg 0.1201 0.2500 0.2397 1
Cd1 Cd 0.1208 0.7500 0.2428 1
Ag1 Ag 0.3133 0.5018 0.6270 1
Ag2 Ag 0.4994 0.2500 0.0014 1
# ΔE_f   -0.08 eV/atom
# Uncorrected energy   -2.29 eV per atom
# Total magnetization   0.000 μB/cell